Material: MoPtSe2
Method: DFT, PBE
State: relaxed

CIF file:
```
data_MoPtSe2
_cell_length_a 9.818
_cell_length_b 3.280
_cell_length_c 6.171
_cell_angle_alpha 90.00
_cell_angle_beta 97.58
_cell_angle_gamma 90.00
_symmetry_space_group_name_H-M 'C 1 m 1'
_symmetry_Int_Tables_number 8
loop_
_symmetry_equiv_pos_as_xyz
'x,y,z'
'x,-y,z'
'x+1/2,y+1/2,z'
'x+1/2,-y+1/2,z'
loop_
_atom_site_label
_atom_site_type_symbol
_atom_site_fract_x
_atom_site_fract_y
_atom_site_fract_z
Mo1 Mo 0.000 0.000 0.000
Pt1 Pt 0.286 0.000 0.990
Se1 Se 0.163 0.500 0.231
Se2 Se 0.448 0.000 0.699
```

Computed properties:
Formation energy (no corrections), eV/atom: -0.078
Distance to the lowest polymorph of the same formula, meV/atom: 58
VASP energy, eV per atom: -6.04